No. 1
PtSe2NO | GGA-PBEsol | optimized geometry

The density of states at the Fermi level is 3.00 states/eV/cell. As for the uncorrected formation energy: 1272 meV per atom. As for the total magnetization: 1.73 μB per cell.

The structure belongs to space group P4/mmm (No. 123); the cell edges are 4.4291, 4.4291 and 3.5286 Å and the angles 90.00°, 90.00° and 90.00°. The asymmetric unit holds Pt at (0.0000, 0.0000, 0.0000), Se at (0.0000, 0.5000, 0.5000), N at (0.5000, 0.5000, 0.0000) and O at (0.5000, 0.5000, 0.5000).

---

No. 2
SiPtNO2 | GGA-PBEsol | optimized geometry

The density of states at the Fermi level is 2.23 states/eV/cell. As for the uncorrected formation energy: 517 meV per atom. As for the total magnetization: 0.00 μB per cell.

The structure belongs to space group P4/mmm (No. 123); the cell edges are 4.0794, 4.0794 and 3.6568 Å and the angles 90.00°, 90.00° and 90.00°. The asymmetric unit holds Si at (0.0000, 0.0000, 0.0000), Pt at (0.5000, 0.5000, 0.5000), N at (0.5000, 0.5000, 0.0000) and O at (0.0000, 0.5000, 0.5000).

---

No. 3
Te2PtNO | GGA-PBEsol | optimized geometry

The density of states at the Fermi level is 3.06 states/eV/cell. As for the uncorrected formation energy: 1005 meV per atom. As for the total magnetization: 1.12 μB per cell.

The structure belongs to space group P4/mmm (No. 123); the cell edges are 4.6872, 4.6872 and 3.6220 Å and the angles 90.00°, 90.00° and 90.00°. The asymmetric unit holds Te at (0.0000, 0.5000, 0.0000), Pt at (0.0000, 0.0000, 0.5000), N at (0.5000, 0.5000, 0.5000) and O at (0.5000, 0.5000, 0.0000).